A relaxed structure of PrEuCuSn. Source: the Alexandria database, functional PBE-GGA.

Output
- density (g/cm³) = 7.160
- total moment (μB per formula unit) = 7.3
- SG = F-43m
- crystal system = cubic
- energy of formation (eV/atom) = -0.409

Structure (POSCAR):
```
PrEuCuSn
1.0
-2.885 -2.583 3.737
2.491 -2.779 3.877
-0.066 1.803 5.070
Sn Cu Eu Pr
1 1 1 1
Direct
0.250 0.250 0.250
0.750 0.750 0.750
0.000 0.000 0.000
0.500 0.500 0.500
```